6
Lattice="3.016 0.000 0.000 1.505 4.654 0.000 0.012 1.972 4.839" Properties=species:S:1:pos:R:3 comment="CuSiB (GGA-PBE, optimized geometry)" mass_density_g_cm3=5.0 dft_energy_ev_per_atom=-5.170 e_form_raw_ev_per_atom=0.23 pbc="T T T"
Cu 0.000 0.000 0.000
Cu 1.506 2.087 0.638
Si 1.519 2.023 2.943
Si 3.025 4.216 3.623
B 1.514 3.931 2.015
B 3.022 4.840 1.730



10
Lattice="11.153 -1.759 0.000 11.153 1.759 0.000 -0.341 0.000 8.354" Properties=species:S:1:pos:R:3 comment="NdTm4Th5 (GGA-PBE, optimized geometry)" delta_e_f_mev_per_atom=203 mass_density_g_cm3=10.0 dft_energy_ev_per_atom=-5.772 pbc="T T T"
Nd 0.000 0.000 0.000
Tm 4.002 0.000 0.078
Tm 9.005 0.000 2.141
Tm 12.960 0.000 6.213
Tm 17.963 0.000 8.276
Th -0.170 0.000 4.177
Th 5.792 0.000 2.810
Th 8.349 0.000 5.609
Th 13.616 0.000 2.745
Th 16.174 0.000 5.544



12
Lattice="5.002 0.000 0.000 0.000 7.147 0.000 -2.460 0.000 7.488" Properties=species:S:1:pos:R:3 comment="Pm6Rh5Au (GGA-PBE, optimized geometry)" polymorph_energy_ev_per_atom=0.0000 delta_e_f_mev_per_atom=-706 mass_density_g_cm3=9.8 dft_energy_ev_per_atom=-6.417 pbc="T T T"
Pm 0.000 1.731 0.000
Pm 0.000 5.416 0.000
Pm 0.023 1.768 4.944
Pm 0.023 5.380 4.944
Pm 2.518 1.768 2.544
Pm 2.518 5.380 2.544
Rh 0.021 0.000 2.493
Rh 0.019 3.574 2.506
Rh 2.501 0.000 0.000
Rh 2.520 0.000 4.995
Rh 2.522 3.574 4.982
Au 2.501 3.574 0.000



48
Lattice="5.799 0.000 0.000 0.000 10.456 0.000 -2.257 0.000 12.481" Properties=species:S:1:pos:R:3 comment="Os2O3F7 (GGA-PBE, optimized geometry)" mass_density_g_cm3=4.9 dft_energy_ev_per_atom=-5.683 e_form_raw_ev_per_atom=-1.48 pbc="T T T"
Os 0.057 2.617 0.030
Os -1.072 2.610 6.271
Os 1.486 5.355 2.680
Os 0.358 10.328 8.921
Os 3.184 0.127 3.560
Os 2.055 5.101 9.801
Os 4.614 7.845 6.211
Os 3.485 7.838 12.451
O 0.455 0.787 10.358
O 1.584 4.441 4.117
O 2.151 6.865 3.110
O 1.023 8.818 9.350
O 0.857 5.799 10.799
O 1.986 9.884 4.558
O 1.556 0.572 7.923
O 2.685 4.656 1.683
O 2.519 1.638 3.131
O 1.390 3.590 9.372
O 1.958 6.015 8.364
O 3.087 9.669 2.123
F -0.347 5.792 2.782
F -1.476 9.892 9.023
F -0.893 6.971 7.849
F 0.235 8.712 1.608
F -0.833 1.620 7.977
F 0.295 3.608 1.736
F 0.958 6.268 0.656
F -0.171 9.415 6.897
F 0.988 1.158 0.748
F -0.141 4.070 6.989
F 0.444 7.169 5.514
F -0.685 8.514 11.755
F 0.538 1.863 5.610
F -0.591 3.364 11.850
F 4.133 7.091 0.631
F 3.004 8.592 6.872
F 4.227 1.941 0.726
F 3.098 3.286 6.967
F 3.682 6.385 5.492
F 2.554 9.298 11.733
F 3.713 1.040 5.585
F 2.584 4.188 11.825
F 3.247 6.848 10.745
F 4.375 8.835 4.505
F 3.307 1.743 10.873
F 4.435 3.484 4.632
F 5.018 0.564 3.459
F 3.889 4.664 9.699



4
Lattice="3.059 -3.802 0.000 3.059 3.802 0.000 -0.025 0.000 3.749" Properties=species:S:1:pos:R:3 comment="Mg2PPb (GGA-PBE, optimized geometry)" delta_e_f_mev_per_atom=1 mass_density_g_cm3=5.5 dft_energy_ev_per_atom=-3.075 pbc="T T T"
Mg 1.530 1.901 0.000
Mg 1.530 -1.901 0.000
P -0.012 0.000 1.875
Pb 3.047 0.000 1.875



4
Lattice="2.810 0.000 0.000 0.000 3.756 0.000 0.000 0.000 5.841" Properties=species:S:1:pos:R:3 comment="FeAgPt2 (GGA-PBE, optimized geometry)" delta_e_f_mev_per_atom=-84 mass_density_g_cm3=14.9 dft_energy_ev_per_atom=-5.933 pbc="T T T"
Fe 0.000 0.000 0.000
Ag 0.000 0.000 2.920
Pt 1.405 1.878 1.363
Pt 1.405 1.878 4.478



16
Lattice="-4.389 4.505 6.288 4.389 -4.505 6.288 4.389 4.505 -6.288" Properties=species:S:1:pos:R:3 comment="K2CrTe4As (GGA-PBE, optimized geometry)" mass_density_g_cm3=4.8 dft_energy_ev_per_atom=-4.045 e_form_raw_ev_per_atom=-0.42 pbc="T T T"
K 0.000 0.000 0.000
K -2.195 2.252 3.144
K 0.000 4.505 0.000
K 2.195 2.252 3.144
Cr 2.195 2.252 -3.144
Cr 2.195 -2.252 3.144
Te 4.389 -0.439 2.962
Te 4.389 4.066 -2.962
Te 2.462 2.252 -0.331
Te 6.317 2.252 -0.331
Te -1.928 2.252 6.619
Te 1.928 2.252 6.619
Te 0.000 0.439 9.251
Te 0.000 4.944 3.326
As 4.389 0.000 0.000
As 0.000 0.000 6.288



4
Lattice="1.635 0.944 10.417 -1.635 0.944 10.417 0.000 -1.888 10.417" Properties=species:S:1:pos:R:3 comment="La2PaF (GGA-PBE, optimized geometry)" mass_density_g_cm3=9.1 dft_energy_ev_per_atom=-6.205 e_form_raw_ev_per_atom=-0.90 pbc="T T T"
La 0.000 0.000 3.194
La 0.000 0.000 28.057
Pa 0.000 0.000 0.000
F 0.000 0.000 15.625